[1]
# Th2SiBi, relaxed, DFT GGA-PBE
data_Th2SiBi
_chemical_formula_sum 'Th2 Si1 Bi1'
_cell_length_a 4.3170
_cell_length_b 4.3170
_cell_length_c 7.5790
_cell_angle_alpha 90.00
_cell_angle_beta 90.00
_cell_angle_gamma 120.00
_symmetry_space_group_name_H-M 'P -3 m 1'
_symmetry_Int_Tables_number 164
_symmetry_space_group_name_Hall '-P 3 2"'
loop_
_atom_site_label
_atom_site_type_symbol
_atom_site_fract_x
_atom_site_fract_y
_atom_site_fract_z
Th1 Th 0.3333 0.6667 0.2158
Si1 Si 0.0000 0.0000 0.0000
Bi1 Bi 0.0000 0.0000 0.5000
# Total magnetic moment: 0.000 μB per atom
# E: -6.6258 eV/atom
# E_form (uncorrected): -0.5899 eV per atom
# Energy above the most stable polymorph in this dataset: 7.39 kJ per mole of atoms

[2]
# Th2SiBi, relaxed, DFT GGA-PBE
data_Th2SiBi
_chemical_formula_sum 'Th6 Si3 Bi3'
_cell_length_a 4.3683
_cell_length_b 4.3683
_cell_length_c 22.3367
_cell_angle_alpha 90.00
_cell_angle_beta 90.00
_cell_angle_gamma 120.00
_symmetry_space_group_name_H-M 'R -3 m'
_symmetry_Int_Tables_number 166
_symmetry_space_group_name_Hall '-R 3 2"'
loop_
_atom_site_label
_atom_site_type_symbol
_atom_site_fract_x
_atom_site_fract_y
_atom_site_fract_z
Th1 Th 0.0000 0.0000 0.2392
Si1 Si 0.0000 0.0000 0.5000
Bi1 Bi 0.0000 0.0000 0.0000
# Total magnetic moment: 0.000 μB per atom
# E: -6.7024 eV/atom
# E_form (uncorrected): -0.6665 eV per atom
# Energy above the most stable polymorph in this dataset: 0.00 kJ per mole of atoms

[3]
# Th3SiBi2, relaxed, DFT GGA-PBE
data_Th3SiBi2
_chemical_formula_sum 'Th48 Si16 Bi32'
_cell_length_a 9.0609
_cell_length_b 12.6993
_cell_length_c 26.6395
_cell_angle_alpha 90.00
_cell_angle_beta 90.00
_cell_angle_gamma 90.00
_symmetry_space_group_name_H-M 'F d d d'
_symmetry_Int_Tables_number 70
loop_
_symmetry_equiv_pos_as_xyz
'x,y,z'
'-x,-y,-z'
'-x+1/4,-y+1/4,z'
'x+1/4,y+1/4,-z'
'x,-y+1/4,-z+1/4'
'-x,y+1/4,z+1/4'
'-x+1/4,y,-z+1/4'
'x+1/4,-y,z+1/4'
'x,y+1/2,z+1/2'
'-x,-y+1/2,-z+1/2'
'-x+1/4,-y+3/4,z+1/2'
'x+1/4,y+3/4,-z+1/2'
'x,-y+3/4,-z+3/4'
'-x,y+3/4,z+3/4'
'-x+1/4,y+1/2,-z+3/4'
'x+1/4,-y+1/2,z+3/4'
'x+1/2,y,z+1/2'
'-x+1/2,-y,-z+1/2'
'-x+3/4,-y+1/4,z+1/2'
'x+3/4,y+1/4,-z+1/2'
'x+1/2,-y+1/4,-z+3/4'
'-x+1/2,y+1/4,z+3/4'
'-x+3/4,y,-z+3/4'
'x+3/4,-y,z+3/4'
'x+1/2,y+1/2,z'
'-x+1/2,-y+1/2,-z'
'-x+3/4,-y+3/4,z'
'x+3/4,y+3/4,-z'
'x+1/2,-y+3/4,-z+1/4'
'-x+1/2,y+3/4,z+1/4'
'-x+3/4,y+1/2,-z+1/4'
'x+3/4,-y+1/2,z+1/4'
loop_
_atom_site_label
_atom_site_type_symbol
_atom_site_fract_x
_atom_site_fract_y
_atom_site_fract_z
Th1 Th 0.0949 0.3750 0.3750
Th2 Th 0.1099 0.3617 0.2136
Si1 Si 0.1250 0.1250 0.0414
Bi1 Bi 0.1250 0.1250 0.3793
Bi2 Bi 0.1250 0.1250 0.5452
# Total magnetic moment: 0.000 μB per atom
# E: -6.5524 eV/atom
# E_form (uncorrected): -0.6450 eV per atom
# Energy above the most stable polymorph in this dataset: 0.00 kJ per mole of atoms

[4]
# Th5SiBi4, relaxed, DFT GGA-PBE
data_Th5SiBi4
_chemical_formula_sum 'Th10 Si2 Bi8'
_cell_length_a 10.1529
_cell_length_b 10.1529
_cell_length_c 6.3875
_cell_angle_alpha 90.00
_cell_angle_beta 90.00
_cell_angle_gamma 90.00
_symmetry_space_group_name_H-M 'I 4/m'
_symmetry_Int_Tables_number 87
_symmetry_space_group_name_Hall '-I 4'
loop_
_atom_site_label
_atom_site_type_symbol
_atom_site_fract_x
_atom_site_fract_y
_atom_site_fract_z
Th1 Th 0.0000 0.0000 0.0000
Th2 Th 0.0955 0.7291 0.5000
Si1 Si 0.0000 0.0000 0.5000
Bi1 Bi 0.0893 0.6922 0.0000
# Total magnetic moment: 0.000 μB per atom
# E: -6.4073 eV/atom
# E_form (uncorrected): -0.6027 eV per atom

[5]
# Th6SiBi3, relaxed, DFT GGA-PBE
data_Th6SiBi3
_chemical_formula_sum 'Th12 Si2 Bi6'
_cell_length_a 7.3500
_cell_length_b 8.4617
_cell_length_c 12.8973
_cell_angle_alpha 90.00
_cell_angle_beta 124.43
_cell_angle_gamma 90.00
_symmetry_space_group_name_H-M 'P 1 21/c 1'
_symmetry_Int_Tables_number 14
loop_
_symmetry_equiv_pos_as_xyz
'x,y,z'
'-x,-y,-z'
'-x,y+1/2,-z+1/2'
'x,-y+1/2,z+1/2'
loop_
_atom_site_label
_atom_site_type_symbol
_atom_site_fract_x
_atom_site_fract_y
_atom_site_fract_z
Th1 Th 0.0473 0.0353 0.2359
Th2 Th 0.1834 0.6882 0.0595
Th3 Th 0.4034 0.1569 0.0555
Si1 Si 0.0000 0.0000 0.0000
Bi1 Bi 0.3236 0.1428 0.7461
Bi2 Bi 0.5000 0.0000 0.5000
# Total magnetic moment: 0.000 μB per atom
# E: -6.5027 eV/atom
# E_form (uncorrected): -0.3442 eV per atom

[6]
# Th5Si2Bi2, relaxed, DFT GGA-PBE
data_Th5Si2Bi2
_chemical_formula_sum 'Th20 Si8 Bi8'
_cell_length_a 16.1298
_cell_length_b 8.0502
_cell_length_c 8.0176
_cell_angle_alpha 90.00
_cell_angle_beta 90.00
_cell_angle_gamma 90.00
_symmetry_space_group_name_H-M 'C m c e'
_symmetry_Int_Tables_number 64
_symmetry_space_group_name_Hall '-C 2ac 2'
loop_
_atom_site_label
_atom_site_type_symbol
_atom_site_fract_x
_atom_site_fract_y
_atom_site_fract_z
Th1 Th 0.0000 0.0000 0.0000
Th2 Th 0.1216 0.1771 0.3215
Si1 Si 0.0000 0.1161 0.6162
Bi1 Bi 0.2141 0.0000 0.0000
# Total magnetic moment: 0.000 μB per atom
# E: -6.8075 eV/atom
# E_form (uncorrected): -0.6178 eV per atom

[7]
# Th3SiBi2, relaxed, DFT GGA-PBE
data_Th3SiBi2
_chemical_formula_sum 'Th12 Si4 Bi8'
_cell_length_a 7.9100
_cell_length_b 13.4040
_cell_length_c 7.6740
_cell_angle_alpha 90.00
_cell_angle_beta 109.52
_cell_angle_gamma 90.00
_symmetry_space_group_name_H-M 'C 1 2/c 1'
_symmetry_Int_Tables_number 15
loop_
_symmetry_equiv_pos_as_xyz
'x,y,z'
'-x,-y,-z'
'-x,y,-z+1/2'
'x,-y,z+1/2'
'x+1/2,y+1/2,z'
'-x+1/2,-y+1/2,-z'
'-x+1/2,y+1/2,-z+1/2'
'x+1/2,-y+1/2,z+1/2'
loop_
_atom_site_label
_atom_site_type_symbol
_atom_site_fract_x
_atom_site_fract_y
_atom_site_fract_z
Th1 Th 0.2122 0.0728 0.4928
Th2 Th 0.2500 0.2500 0.0000
Si1 Si 0.0000 0.0907 0.7500
Bi1 Bi 0.0000 0.2625 0.2500
Bi2 Bi 0.0000 0.4200 0.7500
# Total magnetic moment: 0.000 μB per atom
# E: -6.5249 eV/atom
# E_form (uncorrected): -0.6175 eV per atom
# Energy above the most stable polymorph in this dataset: 2.66 kJ per mole of atoms

[8]
# Th5Si2Bi, relaxed, DFT GGA-PBE
data_Th5Si2Bi
_chemical_formula_sum 'Th20 Si8 Bi4'
_cell_length_a 7.9428
_cell_length_b 7.9428
_cell_length_c 14.3628
_cell_angle_alpha 90.00
_cell_angle_beta 90.00
_cell_angle_gamma 90.00
_symmetry_space_group_name_H-M 'I 4/m c m'
_symmetry_Int_Tables_number 140
_symmetry_space_group_name_Hall '-I 4 2c'
loop_
_atom_site_label
_atom_site_type_symbol
_atom_site_fract_x
_atom_site_fract_y
_atom_site_fract_z
Th1 Th 0.0000 0.0000 0.0000
Th2 Th 0.1589 0.3411 0.1377
Si1 Si 0.1362 0.3638 0.5000
Bi1 Bi 0.0000 0.0000 0.2500
# Total magnetic moment: 0.000 μB per atom
# E: -7.0219 eV/atom
# E_form (uncorrected): -0.5436 eV per atom

[9]
# ThSiBi, relaxed, DFT GGA-PBE
data_ThSiBi
_chemical_formula_sum 'Th4 Si4 Bi4'
_cell_length_a 4.4083
_cell_length_b 16.9933
_cell_length_c 4.3111
_cell_angle_alpha 90.00
_cell_angle_beta 90.00
_cell_angle_gamma 90.00
_symmetry_space_group_name_H-M 'C m c m'
_symmetry_Int_Tables_number 63
_symmetry_space_group_name_Hall '-C 2c 2'
loop_
_atom_site_label
_atom_site_type_symbol
_atom_site_fract_x
_atom_site_fract_y
_atom_site_fract_z
Th1 Th 0.0000 0.0935 0.2500
Si1 Si 0.0000 0.4617 0.2500
Bi1 Bi 0.0000 0.2497 0.7500
# Total magnetic moment: 0.000 μB per atom
# E: -6.0552 eV/atom
# E_form (uncorrected): -0.4806 eV per atom

[10]
# TiSiBi2, relaxed, DFT GGA-PBE
data_TiSiBi2
_chemical_formula_sum 'Ti4 Si4 Bi8'
_cell_length_a 6.4592
_cell_length_b 6.4592
_cell_length_c 12.8111
_cell_angle_alpha 90.00
_cell_angle_beta 90.00
_cell_angle_gamma 90.00
_symmetry_space_group_name_H-M 'I -4 2 d'
_symmetry_Int_Tables_number 122
_symmetry_space_group_name_Hall 'I -4 2bw'
loop_
_atom_site_label
_atom_site_type_symbol
_atom_site_fract_x
_atom_site_fract_y
_atom_site_fract_z
Ti1 Ti 0.0000 0.0000 0.0000
Si1 Si 0.0000 0.0000 0.5000
Bi1 Bi 0.2480 0.2500 0.1250
# Total magnetic moment: 0.000 μB per atom
# E: -4.7395 eV/atom
# E_form (uncorrected): 0.5305 eV per atom

[11]
# Ti6SiBi2, relaxed, DFT GGA-PBE
data_Ti6SiBi2
_chemical_formula_sum 'Ti12 Si2 Bi4'
_cell_length_a 13.8707
_cell_length_b 6.7532
_cell_length_c 4.2711
_cell_angle_alpha 90.00
_cell_angle_beta 107.87
_cell_angle_gamma 90.00
_symmetry_space_group_name_H-M 'C 1 2/m 1'
_symmetry_Int_Tables_number 12
loop_
_symmetry_equiv_pos_as_xyz
'x,y,z'
'-x,-y,-z'
'-x,y,-z'
'x,-y,z'
'x+1/2,y+1/2,z'
'-x+1/2,-y+1/2,-z'
'-x+1/2,y+1/2,-z'
'x+1/2,-y+1/2,z'
loop_
_atom_site_label
_atom_site_type_symbol
_atom_site_fract_x
_atom_site_fract_y
_atom_site_fract_z
Ti1 Ti 0.0000 0.2118 0.0000
Ti2 Ti 0.1589 0.2217 0.6588
Si1 Si 0.0000 0.0000 0.5000
Bi1 Bi 0.1577 0.5000 0.1576
# Total magnetic moment: 0.000 μB per atom
# E: -6.6574 eV/atom
# E_form (uncorrected): 0.0709 eV per atom

[12]
# TiSi3Bi, relaxed, DFT GGA-PBE
data_TiSi3Bi
_chemical_formula_sum 'Ti1 Si3 Bi1'
_cell_length_a 4.8511
_cell_length_b 4.8511
_cell_length_c 4.8511
_cell_angle_alpha 90.00
_cell_angle_beta 90.00
_cell_angle_gamma 90.00
_symmetry_space_group_name_H-M 'P m -3 m'
_symmetry_Int_Tables_number 221
_symmetry_space_group_name_Hall '-P 4 2 3'
loop_
_atom_site_label
_atom_site_type_symbol
_atom_site_fract_x
_atom_site_fract_y
_atom_site_fract_z
Ti1 Ti 0.0000 0.0000 0.0000
Si1 Si 0.0000 0.0000 0.5000
Bi1 Bi 0.5000 0.5000 0.5000
# Total magnetic moment: 0.000 μB per atom
# E: -5.0291 eV/atom
# E_form (uncorrected): 0.5799 eV per atom
# Energy above the most stable polymorph in this dataset: 0.00 kJ per mole of atoms

What did the ninth record say?
# ThSiBi, relaxed, DFT GGA-PBE
data_ThSiBi
_chemical_formula_sum 'Th4 Si4 Bi4'
_cell_length_a 4.4083
_cell_length_b 16.9933
_cell_length_c 4.3111
_cell_angle_alpha 90.00
_cell_angle_beta 90.00
_cell_angle_gamma 90.00
_symmetry_space_group_name_H-M 'C m c m'
_symmetry_Int_Tables_number 63
_symmetry_space_group_name_Hall '-C 2c 2'
loop_
_atom_site_label
_atom_site_type_symbol
_atom_site_fract_x
_atom_site_fract_y
_atom_site_fract_z
Th1 Th 0.0000 0.0935 0.2500
Si1 Si 0.0000 0.4617 0.2500
Bi1 Bi 0.0000 0.2497 0.7500
# Total magnetic moment: 0.000 μB per atom
# E: -6.0552 eV/atom
# E_form (uncorrected): -0.4806 eV per atom